Compound: CsHf2WF
Source: the Alexandria database
Functional: GGA+U
Structure: optimized geometry

Cell lengths 5.371, 5.371, 5.614 Å; angles 90.00, 90.00, 90.00 degrees
Fractional coordinates of all 5 atoms:
Cs: 0.000 0.000 0.000
Hf: 0.000 0.500 0.000
Hf: 0.500 0.000 0.000
W: 0.000 0.000 0.500
F: 0.500 0.500 0.500

Output
SG = P4/mmm
theoretical density = 7.10 Mg/m³
electronic total energy = -3.287 eV/atom